No. 1
# PrNi2AsH

A relaxed PrNi2AsH crystal (PBE, the Alexandria database).

Raw total energy: -5.51 eV per atom

abc: 5.632 5.632 6.785
angles: 90.00 90.00 138.93
Fractional positions:
Pr: 0.065 0.935 0.750
Pr: 0.935 0.065 0.250
Ni: 0.339 0.661 0.559
Ni: 0.339 0.661 0.941
Ni: 0.661 0.339 0.059
Ni: 0.661 0.339 0.441
As: 0.219 0.781 0.250
As: 0.781 0.219 0.750
H: 0.500 0.500 0.000
H: 0.500 0.500 0.500


No. 2
# Ni2AsHPt

A relaxed Ni2AsHPt crystal (PBE, the Alexandria database).

Raw total energy: -5.11 eV per atom

abc: 3.859 3.859 3.799
angles: 90.00 90.00 90.00
Fractional positions:
Ni: 0.000 0.500 0.000
Ni: 0.500 0.000 0.000
As: 0.000 0.000 0.500
H: 0.500 0.500 0.000
Pt: 0.500 0.500 0.500


No. 3
# PuNiAsH

A relaxed PuNiAsH crystal (PBE, the Alexandria database).

Raw total energy: -7.71 eV per atom

abc: 4.098 4.098 3.913
angles: 90.00 90.00 120.00
Fractional positions:
Pu: 0.000 0.000 0.000
Ni: 0.667 0.333 0.541
As: 0.333 0.667 0.478
H: 0.667 0.333 0.970


No. 4
# PuNi2AsH

A relaxed PuNi2AsH crystal (PBE, the Alexandria database).

Raw total energy: -7.27 eV per atom

abc: 5.552 5.552 6.695
angles: 90.00 90.00 139.20
Fractional positions:
Pu: 0.055 0.945 0.750
Pu: 0.945 0.055 0.250
Ni: 0.338 0.662 0.559
Ni: 0.338 0.662 0.941
Ni: 0.662 0.338 0.059
Ni: 0.662 0.338 0.441
As: 0.225 0.775 0.250
As: 0.775 0.225 0.750
H: 0.500 0.500 0.000
H: 0.500 0.500 0.500


No. 5
# RbNiAsH2

A relaxed RbNiAsH2 crystal (PBE, the Alexandria database).

Raw total energy: -2.45 eV per atom

abc: 4.181 4.181 6.133
angles: 90.00 90.00 90.00
Fractional positions:
Rb: 0.000 0.000 0.000
Ni: 0.000 0.000 0.500
As: 0.500 0.500 0.000
H: 0.000 0.500 0.500
H: 0.500 0.000 0.500


No. 6
# RbNi2AsH2

A relaxed RbNi2AsH2 crystal (PBE, the Alexandria database).

Raw total energy: -4.14 eV per atom

abc: 6.621 5.011 7.510
angles: 90.00 108.20 90.00
Fractional positions:
Rb: 0.184 0.250 0.337
Rb: 0.816 0.750 0.663
Ni: 0.351 0.000 0.816
Ni: 0.351 0.500 0.816
Ni: 0.649 0.000 0.184
Ni: 0.649 0.500 0.184
As: 0.347 0.750 0.069
As: 0.653 0.250 0.931
H: 0.189 0.250 0.733
H: 0.314 0.750 0.667
H: 0.686 0.250 0.333
H: 0.811 0.750 0.267


No. 7
# Ni2AsHRh

A relaxed Ni2AsHRh crystal (PBE, the Alexandria database).

Raw total energy: -5.48 eV per atom

abc: 3.744 3.744 3.809
angles: 90.00 90.00 90.00
Fractional positions:
Ni: 0.000 0.500 0.000
Ni: 0.500 0.000 0.000
As: 0.000 0.000 0.500
H: 0.500 0.500 0.000
Rh: 0.500 0.500 0.500


No. 8
# NiAs2HSe

A relaxed NiAs2HSe crystal (PBE, the Alexandria database).

Raw total energy: -3.73 eV per atom

abc: 3.859 3.859 5.102
angles: 90.00 90.00 90.00
Fractional positions:
Ni: 0.000 0.000 0.000
As: 0.000 0.500 0.500
As: 0.500 0.000 0.500
H: 0.500 0.500 0.500
Se: 0.500 0.500 0.000


No. 9
# NiAs2HSe

A relaxed NiAs2HSe crystal (PBE, the Alexandria database).

Raw total energy: -3.55 eV per atom

abc: 4.547 4.547 4.922
angles: 90.00 90.00 90.00
Fractional positions:
Ni: 0.000 0.000 0.000
As: 0.000 0.500 0.000
As: 0.500 0.000 0.000
H: 0.500 0.500 0.500
Se: 0.000 0.000 0.500


No. 10
# NiAs2HSe

A relaxed NiAs2HSe crystal (PBE, the Alexandria database).

Raw total energy: -3.81 eV per atom

abc: 5.108 5.108 3.184
angles: 90.00 90.00 90.00
Fractional positions:
Ni: 0.000 0.000 0.000
As: 0.000 0.500 0.500
As: 0.500 0.000 0.500
H: 0.500 0.500 0.000
Se: 0.500 0.500 0.500


No. 11
# NiAsHSe2

A relaxed NiAsHSe2 crystal (PBE, the Alexandria database).

Raw total energy: -3.34 eV per atom

abc: 4.812 4.812 4.491
angles: 90.00 90.00 90.00
Fractional positions:
Ni: 0.000 0.000 0.000
As: 0.000 0.000 0.500
H: 0.500 0.500 0.500
Se: 0.000 0.500 0.000
Se: 0.500 0.000 0.000


No. 12
# NiAsHSe2

A relaxed NiAsHSe2 crystal (PBE, the Alexandria database).

Raw total energy: -3.46 eV per atom

abc: 4.733 4.733 3.429
angles: 90.00 90.00 90.00
Fractional positions:
Ni: 0.000 0.000 0.000
As: 0.500 0.500 0.000
H: 0.500 0.500 0.500
Se: 0.000 0.500 0.500
Se: 0.500 0.000 0.500